[1]
{"formula": "Ti2ZnPd", "functional": "PBE-GGA", "state": "optimized geometry", "mass_density_g_cm3": 7.05, "dft_energy_ev_per_atom": -5.89, "lattice_angstrom": [[-2.756, 0.345, 1.665], [-1.381, -2.303, -1.809], [1.840, -4.175, 3.910]], "species": ["Zn", "Pd", "Ti", "Ti"], "frac_coords": [[0.500, 0.500, 0.000], [0.500, 0.500, 0.500], [0.000, 0.000, 0.753], [0.000, 0.000, 0.247]]}

[2]
{"formula": "Ti2ZnPd9", "functional": "PBE-GGA", "state": "optimized geometry", "mass_density_g_cm3": 10.26, "dft_energy_ev_per_atom": -5.87, "lattice_angstrom": [[3.929, 0.000, 0.000], [0.000, 3.929, 0.000], [0.000, 0.000, 11.728]], "species": ["Ti", "Ti", "Zn", "Pd", "Pd", "Pd", "Pd", "Pd", "Pd", "Pd", "Pd", "Pd"], "frac_coords": [[0.000, 0.000, 0.327], [0.000, 0.000, 0.673], [0.000, 0.000, 0.000], [0.500, 0.500, 0.000], [0.500, 0.500, 0.335], [0.500, 0.500, 0.665], [0.500, 0.000, 0.170], [0.500, 0.000, 0.500], [0.500, 0.000, 0.830], [0.000, 0.500, 0.170], [0.000, 0.500, 0.500], [0.000, 0.500, 0.830]]}

[3]
{"formula": "Ti3Zn2Pd4", "functional": "PBE-GGA", "state": "optimized geometry", "polymorph_energy_ev_per_atom": 0.0000, "mass_density_g_cm3": 8.51, "lattice_angstrom": [[4.044, 0.000, 0.001], [2.021, 4.155, 0.651], [-0.002, 0.779, 8.251]], "species": ["Ti", "Ti", "Ti", "Zn", "Zn", "Pd", "Pd", "Pd", "Pd"], "frac_coords": [[0.329, 0.341, 0.427], [0.000, 0.000, 0.000], [0.671, 0.659, 0.573], [0.335, 0.329, 0.776], [0.665, 0.671, 0.224], [0.664, 0.671, 0.896], [0.002, 0.996, 0.331], [0.998, 0.004, 0.669], [0.336, 0.329, 0.104]]}

[4]
{"formula": "ZrTi2ZnPd", "functional": "PBE-GGA", "state": "optimized geometry", "mass_density_g_cm3": 5.20, "dft_energy_ev_per_atom": -5.59, "lattice_angstrom": [[4.740, 0.000, 0.000], [0.000, 5.100, 0.000], [0.000, 0.000, 4.740]], "species": ["Zn", "Zr", "Pd", "Ti", "Ti"], "frac_coords": [[0.500, 0.500, 0.500], [0.000, 0.500, 0.000], [0.000, 0.000, 0.000], [0.000, 0.000, 0.500], [0.500, 0.000, 0.000]]}

[5]
{"formula": "ZrTi2Zn2Pd2", "functional": "PBE-GGA", "state": "optimized geometry", "mass_density_g_cm3": 7.51, "dft_energy_ev_per_atom": -5.65, "lattice_angstrom": [[-3.719, -1.037, 2.163], [0.099, -0.145, -4.427], [3.155, -6.166, 2.470]], "species": ["Zr", "Ti", "Ti", "Zn", "Zn", "Pd", "Pd"], "frac_coords": [[0.000, 0.000, 0.000], [0.574, 0.147, 0.721], [0.426, 0.853, 0.279], [0.142, 0.284, 0.427], [0.858, 0.716, 0.573], [0.732, 0.464, 0.197], [0.268, 0.536, 0.803]]}

[6]
{"formula": "ZrTi2Pd2", "functional": "PBE-GGA", "state": "optimized geometry", "polymorph_energy_ev_per_atom": 0.0000, "mass_density_g_cm3": 7.58, "lattice_angstrom": [[-3.096, -3.581, -5.944], [-5.340, -2.926, 4.544], [-1.768, 2.406, -0.529]], "species": ["Zr", "Zr", "Pd", "Pd", "Pd", "Pd", "Ti", "Ti", "Ti", "Ti"], "frac_coords": [[0.000, 0.000, 0.000], [0.500, 0.500, 0.000], [0.371, 0.871, 0.000], [0.871, 0.629, 0.000], [0.629, 0.129, 0.000], [0.129, 0.371, 0.000], [0.167, 0.667, 0.500], [0.667, 0.833, 0.500], [0.833, 0.333, 0.500], [0.333, 0.167, 0.500]]}

[7]
{"formula": "Zr2TiPd2", "functional": "PBE-GGA", "state": "optimized geometry", "polymorph_energy_ev_per_atom": 0.1251, "mass_density_g_cm3": 7.57, "lattice_angstrom": [[-0.020, -4.696, -6.243], [5.443, -4.487, 3.358], [-2.285, -1.770, 1.339]], "species": ["Zr", "Zr", "Zr", "Zr", "Pd", "Pd", "Pd", "Pd", "Ti", "Ti"], "frac_coords": [[0.339, 0.839, 0.000], [0.839, 0.661, 0.000], [0.661, 0.161, 0.000], [0.161, 0.339, 0.000], [0.137, 0.637, 0.500], [0.637, 0.863, 0.500], [0.863, 0.363, 0.500], [0.363, 0.137, 0.500], [0.000, 0.000, 0.000], [0.500, 0.500, 0.000]]}

[8]
{"formula": "ZrTiPd14", "functional": "PBE-GGA", "state": "optimized geometry", "mass_density_g_cm3": 10.81, "dft_energy_ev_per_atom": -5.95, "lattice_angstrom": [[-0.951, -5.387, 1.373], [5.536, -1.042, -0.256], [0.696, 1.820, 7.625]], "species": ["Zr", "Ti", "Pd", "Pd", "Pd", "Pd", "Pd", "Pd", "Pd", "Pd", "Pd", "Pd", "Pd", "Pd", "Pd", "Pd"], "frac_coords": [[0.875, 0.875, 0.500], [0.375, 0.375, 0.500], [0.875, 0.875, 0.000], [0.375, 0.375, 0.000], [0.875, 0.375, 0.500], [0.875, 0.375, 0.000], [0.375, 0.875, 0.500], [0.375, 0.875, 0.000], [0.622, 0.128, 0.254], [0.622, 0.128, 0.746], [0.128, 0.622, 0.254], [0.128, 0.622, 0.746], [0.622, 0.622, 0.254], [0.622, 0.622, 0.746], [0.128, 0.128, 0.254], [0.128, 0.128, 0.746]]}

[9]
{"formula": "Zr12Ti5Pd3", "functional": "PBE-GGA", "state": "optimized geometry", "mass_density_g_cm3": 5.48, "dft_energy_ev_per_atom": -6.97, "lattice_angstrom": [[13.759, 0.000, 0.000], [-4.586, 12.972, 0.000], [-4.586, -6.486, 11.234]], "species": ["Pd", "Pd", "Pd", "Pd", "Pd", "Pd", "Pd", "Pd", "Pd", "Pd", "Pd", "Pd", "Ti", "Ti", "Ti", "Ti", "Ti", "Ti", "Ti", "Ti", "Ti", "Ti", "Ti", "Ti", "Ti", "Ti", "Ti", "Ti", "Ti", "Ti", "Ti", "Ti", "Zr", "Zr", "Zr", "Zr", "Zr", "Zr", "Zr", "Zr", "Zr", "Zr", "Zr", "Zr", "Zr", "Zr", "Zr", "Zr", "Zr", "Zr", "Zr", "Zr", "Zr", "Zr", "Zr", "Zr", "Zr", "Zr", "Zr", "Zr", "Zr", "Zr", "Zr", "Zr", "Zr", "Zr", "Zr", "Zr", "Zr", "Zr", "Zr", "Zr", "Zr", "Zr", "Zr", "Zr", "Zr", "Zr", "Zr", "Zr"], "frac_coords": [[0.750, 0.375, 0.125], [0.875, 0.750, 0.125], [0.375, 0.750, 0.625], [0.250, 0.125, 0.375], [0.875, 0.125, 0.250], [0.375, 0.625, 0.250], [0.625, 0.375, 0.750], [0.125, 0.875, 0.750], [0.750, 0.875, 0.625], [0.625, 0.250, 0.375], [0.125, 0.250, 0.875], [0.250, 0.625, 0.875], [0.125, 0.375, 0.250], [0.000, 0.500, 0.000], [0.000, 0.000, 0.000], [0.375, 0.250, 0.125], [0.500, 0.000, 0.500], [0.500, 0.500, 0.000], [0.125, 0.750, 0.375], [0.750, 0.125, 0.875], [0.750, 0.625, 0.375], [0.375, 0.125, 0.750], [0.625, 0.875, 0.250], [0.500, 0.500, 0.500], [0.500, 0.000, 0.000], [0.000, 0.000, 0.500], [0.250, 0.375, 0.625], [0.250, 0.875, 0.125], [0.000, 0.500, 0.500], [0.875, 0.250, 0.625], [0.625, 0.750, 0.875], [0.875, 0.625, 0.750], [0.726, 0.135, 0.065], [0.339, 0.565, 0.430], [0.935, 0.365, 0.274], [0.565, 0.226, 0.135], [0.591, 0.726, 0.661], [0.935, 0.570, 0.161], [0.339, 0.774, 0.409], [0.070, 0.909, 0.135], [0.570, 0.935, 0.661], [0.726, 0.591, 0.161], [0.774, 0.435, 0.365], [0.839, 0.930, 0.065], [0.135, 0.726, 0.565], [0.365, 0.430, 0.091], [0.091, 0.930, 0.365], [0.409, 0.135, 0.570], [0.091, 0.161, 0.226], [0.435, 0.661, 0.070], [0.839, 0.909, 0.274], [0.135, 0.409, 0.070], [0.365, 0.935, 0.774], [0.570, 0.635, 0.409], [0.930, 0.839, 0.565], [0.774, 0.339, 0.909], [0.430, 0.365, 0.591], [0.070, 0.161, 0.435], [0.226, 0.661, 0.091], [0.161, 0.091, 0.726], [0.635, 0.065, 0.226], [0.865, 0.591, 0.930], [0.565, 0.339, 0.930], [0.591, 0.865, 0.430], [0.909, 0.839, 0.774], [0.909, 0.070, 0.635], [0.865, 0.274, 0.435], [0.161, 0.070, 0.935], [0.635, 0.570, 0.909], [0.430, 0.065, 0.339], [0.274, 0.409, 0.839], [0.226, 0.565, 0.635], [0.930, 0.091, 0.865], [0.661, 0.226, 0.591], [0.435, 0.774, 0.865], [0.065, 0.430, 0.839], [0.409, 0.274, 0.339], [0.065, 0.635, 0.726], [0.661, 0.435, 0.570], [0.274, 0.865, 0.935]]}

[10]
{"formula": "Zr5TiPd8", "functional": "PBE-GGA", "state": "optimized geometry", "mass_density_g_cm3": 8.64, "dft_energy_ev_per_atom": -7.10, "lattice_angstrom": [[0.345, -0.886, -6.903], [2.098, -5.823, 3.202], [-6.573, 1.420, 1.824]], "species": ["Zr", "Zr", "Zr", "Zr", "Zr", "Ti", "Pd", "Pd", "Pd", "Pd", "Pd", "Pd", "Pd", "Pd"], "frac_coords": [[0.973, 0.407, 0.116], [0.884, 0.857, 0.291], [0.709, 0.593, 0.566], [0.500, 0.000, 0.500], [0.434, 0.143, 0.027], [0.250, 0.500, 0.750], [0.100, 0.764, 0.002], [0.998, 0.098, 0.762], [0.835, 0.245, 0.399], [0.601, 0.436, 0.846], [0.411, 0.564, 0.165], [0.664, 0.902, 0.900], [0.238, 0.236, 0.336], [0.154, 0.755, 0.589]]}